Compound: Cs2BaDyBr6
Source: Alexandria
Functional: PBE
Structure: optimized geometry

a b c (Å): 8.167 8.884 12.015
angles (deg): 90.00 90.00 90.00
Last column: magnetic moment on the atom in μB.
Fractional positions:
Cs (0.500, 0.789, 0.774)  0.00
Br (0.262, 0.994, 0.500)  0.00
Br (0.254, 0.449, 0.500)  0.00
Br (0.762, 0.006, 0.000)  0.00
Br (0.238, 0.006, 0.000)  0.00
Dy (0.000, 0.774, 0.000)  0.19
Br (0.500, 0.227, 0.736)  0.00
Br (0.746, 0.449, 0.500)  0.00
Br (0.754, 0.551, 0.000)  0.00
Br (0.246, 0.551, 0.000)  0.00
Br (0.000, 0.773, 0.764)  0.00
Ba (0.500, 0.277, 0.000)  0.04
Cs (0.000, 0.211, 0.274)  0.00
Br (0.738, 0.994, 0.500)  0.00
Cs (0.000, 0.211, 0.726)  0.00
Dy (0.500, 0.226, 0.500)  0.19
Ba (0.000, 0.723, 0.500)  0.04
Br (0.500, 0.227, 0.264)  0.00
Br (0.000, 0.773, 0.236)  0.00
Cs (0.500, 0.789, 0.226)  0.00

Computed properties:
* uncorrected formation energy: -1.787 eV per atom
* symmetry: Pmmn


Compound: Cs2BaErBr6
Source: Alexandria
Functional: PBE
Structure: optimized geometry

a b c (Å): 8.153 8.831 11.973
angles (deg): 90.00 90.00 90.00
Fractional positions:
Br (0.000, 0.771, 0.234)
Br (0.500, 0.229, 0.266)
Br (0.757, 0.549, 0.000)
Cs (0.000, 0.216, 0.730)
Cs (0.000, 0.216, 0.270)
Ba (0.000, 0.725, 0.500)
Br (0.243, 0.549, 0.000)
Er (0.000, 0.772, 0.000)
Br (0.263, 0.997, 0.500)
Br (0.257, 0.451, 0.500)
Er (0.500, 0.228, 0.500)
Br (0.763, 0.003, 0.000)
Br (0.500, 0.229, 0.734)
Br (0.743, 0.451, 0.500)
Br (0.737, 0.997, 0.500)
Cs (0.500, 0.784, 0.230)
Br (0.237, 0.003, 0.000)
Ba (0.500, 0.275, 0.000)
Br (0.000, 0.771, 0.766)
Cs (0.500, 0.784, 0.770)

Computed properties:
* uncorrected formation energy: -1.778 eV per atom
* symmetry: Pmmn


Compound: CsBa2ErBr8
Source: Alexandria
Functional: PBE
Structure: optimized geometry

a b c (Å): 7.278 7.186 10.082
angles (deg): 89.93 89.97 90.17
Fractional positions:
Br (0.684, 0.764, 0.000)
Br (0.404, 0.257, 0.500)
Ba (0.500, 0.500, 0.755)
Br (0.149, 0.774, 0.804)
Cs (0.000, 0.000, 0.500)
Br (0.316, 0.236, 0.000)
Ba (0.500, 0.500, 0.245)
Br (0.148, 0.774, 0.197)
Br (0.596, 0.743, 0.500)
Er (0.000, 0.000, 0.000)
Br (0.852, 0.226, 0.803)
Br (0.851, 0.226, 0.196)

Computed properties:
* uncorrected formation energy: -1.984 eV per atom
* symmetry: P-1


Compound: CsBaErBr6
Source: Alexandria
Functional: PBE
Structure: optimized geometry

a b c (Å): 8.038 8.038 15.102
angles (deg): 90.00 90.00 120.00
Fractional positions:
Er (0.667, 0.333, 0.250)
Cs (0.000, 0.000, 0.500)
Br (0.648, 0.042, 0.358)
Ba (0.333, 0.667, 0.250)
Br (0.352, 0.958, 0.642)
Br (0.394, 0.352, 0.358)
Br (0.606, 0.958, 0.858)
Br (0.958, 0.606, 0.358)
Br (0.042, 0.394, 0.642)
Br (0.648, 0.606, 0.142)
Br (0.606, 0.648, 0.642)
Br (0.352, 0.394, 0.858)
Er (0.333, 0.667, 0.750)
Cs (0.000, 0.000, 0.000)
Br (0.394, 0.042, 0.142)
Ba (0.667, 0.333, 0.750)
Br (0.958, 0.352, 0.142)
Br (0.042, 0.648, 0.858)

Computed properties:
* uncorrected formation energy: -1.982 eV per atom
* symmetry: P-31c


Compound: Cs2BaBr2F2
Source: Alexandria
Functional: PBE
Structure: optimized geometry

a b c (Å): 5.168 5.168 10.237
angles (deg): 104.62 104.62 90.00
Fractional positions:
Cs (0.362, 0.362, 0.725)
Cs (0.638, 0.638, 0.275)
Br (0.829, 0.829, 0.658)
F (0.000, 0.500, 0.000)
Br (0.171, 0.171, 0.342)
Ba (0.000, 0.000, 0.000)
F (0.500, 0.000, 0.000)

Computed properties:
* uncorrected formation energy: -2.588 eV per atom
* symmetry: I4/mmm


Compound: CsBaFe2Br8
Source: Alexandria
Functional: PBE
Structure: optimized geometry

a b c (Å): 6.980 6.980 11.371
angles (deg): 84.09 84.09 68.92
Last column: magnetic moment on the atom in μB.
Fractional positions:
Br (0.715, 0.223, 0.230)  0.11
Fe (0.404, 0.404, 0.774)  3.56
Ba (0.000, 0.000, 0.000)  0.02
Br (0.713, 0.713, 0.036)  0.12
Br (0.314, 0.314, 0.599)  0.16
Cs (0.000, 0.000, 0.500)  0.00
Br (0.285, 0.777, 0.770)  0.11
Br (0.777, 0.285, 0.770)  0.11
Br (0.686, 0.686, 0.401)  0.16
Br (0.223, 0.715, 0.230)  0.11
Fe (0.596, 0.596, 0.226)  3.56
Br (0.287, 0.287, 0.964)  0.12

Computed properties:
* uncorrected formation energy: -1.127 eV per atom
* symmetry: C2/m


> Look up the uncorrected formation energy of the third one.

-1.984 eV per atom